# GGA-PBE YTl2Zn, relaxed
# Fermi-level density of states	0.715	states/eV/atom
# energy of formation from the pure elements	30	meV per atom
data_YTl2Zn
_chemical_formula_sum 'Y3 Tl6 Zn3'
_symmetry_space_group_name_H-M 'R -3 m'
_symmetry_Int_Tables_number 166
_symmetry_space_group_name_Hall '-R 3 2"'
_cell_length_a 3.5072
_cell_length_b 3.5072
_cell_length_c 29.6263
_cell_angle_alpha 90.00
_cell_angle_beta 90.00
_cell_angle_gamma 120.00
loop_
_atom_site_label
_atom_site_type_symbol
_atom_site_fract_x
_atom_site_fract_y
_atom_site_fract_z
Y1 Y 0.0000 0.0000 0.0000
Tl1 Tl 0.0000 0.0000 0.2422
Zn1 Zn 0.0000 0.0000 0.5000

# GGA-PBE ReNi2Pt, relaxed
# Fermi-level density of states	1.221	states/eV/atom
# polymorph energy (0 for the lowest one)	18	kJ/mol of formula units
# energy of formation from the pure elements	-35	meV per atom
data_ReNi2Pt
_chemical_formula_sum 'Re1 Ni2 Pt1'
_symmetry_space_group_name_H-M 'P m m 2'
_symmetry_Int_Tables_number 25
_cell_length_a 2.687
_cell_length_b 3.792
_cell_length_c 5.169
_cell_angle_alpha 90.00
_cell_angle_beta 90.00
_cell_angle_gamma 90.00
loop_
_symmetry_equiv_pos_as_xyz
'x,y,z'
'-x,-y,z'
'-x,y,z'
'x,-y,z'
loop_
_atom_site_label
_atom_site_type_symbol
_atom_site_fract_x
_atom_site_fract_y
_atom_site_fract_z
Re1 Re 0.000 0.000 0.000
Ni1 Ni 0.000 0.000 0.472
Ni2 Ni 0.500 0.500 0.238
Pt1 Pt 0.500 0.500 0.736

# GGA-PBE Pr2ThAl, relaxed
# Fermi-level density of states	1.251	states/eV/atom
# polymorph energy (0 for the lowest one)	3	kJ/mol of formula units
# energy of formation from the pure elements	-117	meV per atom
data_Pr2ThAl
_chemical_formula_sum 'Pr2 Th1 Al1'
_symmetry_space_group_name_H-M 'P 4/m m m'
_symmetry_Int_Tables_number 123
_symmetry_space_group_name_Hall '-P 4 2'
_cell_length_a 4.899
_cell_length_b 4.899
_cell_length_c 4.931
_cell_angle_alpha 90.00
_cell_angle_beta 90.00
_cell_angle_gamma 90.00
loop_
_atom_site_label
_atom_site_type_symbol
_atom_site_fract_x
_atom_site_fract_y
_atom_site_fract_z
Pr1 Pr 0.000 0.500 0.000
Th1 Th 0.000 0.000 0.500
Al1 Al 0.500 0.500 0.500

# GGA-PBE MnAs5, relaxed
# Fermi-level density of states	0.534	states/eV/atom
# polymorph energy (0 for the lowest one)	109	kJ/mol of formula units
# energy of formation from the pure elements	253	meV per atom
data_MnAs5
_chemical_formula_sum 'Mn1 As5'
_symmetry_space_group_name_H-M 'P 4/m m m'
_symmetry_Int_Tables_number 123
_symmetry_space_group_name_Hall '-P 4 2'
_cell_length_a 2.866
_cell_length_b 2.866
_cell_length_c 13.171
_cell_angle_alpha 90.00
_cell_angle_beta 90.00
_cell_angle_gamma 90.00
loop_
_atom_site_label
_atom_site_type_symbol
_atom_site_fract_x
_atom_site_fract_y
_atom_site_fract_z
Mn1 Mn 0.000 0.000 0.000
As1 As 0.000 0.000 0.321
As2 As 0.500 0.500 0.112
As3 As 0.500 0.500 0.500

# GGA-PBE Ho2HgOsO8, relaxed
# ΔE_f (raw)	-1.898	eV/atom
data_Ho2HgOsO8
_chemical_formula_sum 'Ho4 Hg2 Os2 O16'
_symmetry_space_group_name_H-M 'C m m m'
_symmetry_Int_Tables_number 65
_symmetry_space_group_name_Hall '-C 2 2'
_cell_length_a 6.713
_cell_length_b 7.042
_cell_length_c 7.225
_cell_angle_alpha 90.00
_cell_angle_beta 90.00
_cell_angle_gamma 90.00
loop_
_atom_site_label
_atom_site_type_symbol
_atom_site_fract_x
_atom_site_fract_y
_atom_site_fract_z
Ho1 Ho 0.000 0.000 0.246
Hg1 Hg 0.000 0.500 0.000
Os1 Os 0.000 0.500 0.500
O1 O 0.000 0.314 0.316
O2 O 0.195 0.000 0.000
O3 O 0.218 0.000 0.500

# GGA-PBE Li2TlF6, relaxed
# ΔE_f (raw)	-2.058	eV/atom
# polymorph energy (0 for the lowest one)	0	kJ/mol of formula units
data_Li2TlF6
_chemical_formula_sum 'Li4 Tl2 F12'
_symmetry_space_group_name_H-M 'P 1 21/c 1'
_symmetry_Int_Tables_number 14
_cell_length_a 6.222
_cell_length_b 3.818
_cell_length_c 10.727
_cell_angle_alpha 90.00
_cell_angle_beta 116.77
_cell_angle_gamma 90.00
loop_
_symmetry_equiv_pos_as_xyz
'x,y,z'
'-x,-y,-z'
'-x,y+1/2,-z+1/2'
'x,-y+1/2,z+1/2'
loop_
_atom_site_label
_atom_site_type_symbol
_atom_site_fract_x
_atom_site_fract_y
_atom_site_fract_z
Li1 Li 0.158 0.031 0.220
Tl1 Tl 0.500 0.000 0.000
F1 F 0.157 0.132 0.044
F2 F 0.171 0.539 0.298
F3 F 0.497 0.036 0.376

# GGA-PBE Sn2PbBr2O2, relaxed
# Fermi-level density of states	0.000	states/eV/atom
# ΔE_f (raw)	-1.046	eV/atom
data_Sn2PbBr2O2
_chemical_formula_sum 'Sn4 Pb2 Br4 O4'
_symmetry_space_group_name_H-M 'C 1 2/m 1'
_symmetry_Int_Tables_number 12
_cell_length_a 13.763
_cell_length_b 3.892
_cell_length_c 8.855
_cell_angle_alpha 90.00
_cell_angle_beta 126.34
_cell_angle_gamma 90.00
loop_
_symmetry_equiv_pos_as_xyz
'x,y,z'
'-x,-y,-z'
'-x,y,-z'
'x,-y,z'
'x+1/2,y+1/2,z'
'-x+1/2,-y+1/2,-z'
'-x+1/2,y+1/2,-z'
'x+1/2,-y+1/2,z'
loop_
_atom_site_label
_atom_site_type_symbol
_atom_site_fract_x
_atom_site_fract_y
_atom_site_fract_z
Sn1 Sn 0.182 0.000 0.298
Pb1 Pb 0.000 0.000 0.500
Br1 Br 0.063 0.500 0.810
O1 O 0.208 0.000 0.564

# GGA-PBE Zr2CoPt, relaxed
# Fermi-level density of states	1.207	states/eV/atom
# energy of formation from the pure elements	-31	meV per atom
data_Zr2CoPt
_chemical_formula_sum 'Zr6 Co3 Pt3'
_symmetry_space_group_name_H-M 'R 3 m'
_symmetry_Int_Tables_number 160
_symmetry_space_group_name_Hall 'R 3 -2"'
_cell_length_a 3.1464
_cell_length_b 3.1464
_cell_length_c 25.8566
_cell_angle_alpha 90.00
_cell_angle_beta 90.00
_cell_angle_gamma 120.00
loop_
_atom_site_label
_atom_site_type_symbol
_atom_site_fract_x
_atom_site_fract_y
_atom_site_fract_z
Zr1 Zr 0.0000 0.0000 0.0000
Zr2 Zr 0.0000 0.0000 0.2322
Co1 Co 0.0000 0.0000 0.7397
Pt1 Pt 0.0000 0.0000 0.4826

# GGA-PBE BaHoAu, relaxed
# Fermi-level density of states	1.368	states/eV/atom
# polymorph energy (0 for the lowest one)	0	kJ/mol of formula units
# energy of formation from the pure elements	-544	meV per atom
data_BaHoAu
_chemical_formula_sum 'Ba2 Ho2 Au2'
_symmetry_space_group_name_H-M 'P 4/n m m'
_symmetry_Int_Tables_number 129
_cell_length_a 5.112
_cell_length_b 5.112
_cell_length_c 7.773
_cell_angle_alpha 90.00
_cell_angle_beta 90.00
_cell_angle_gamma 90.00
loop_
_symmetry_equiv_pos_as_xyz
'x,y,z'
'-x,-y,-z'
'-y+1/2,x,z'
'y+1/2,-x,-z'
'-x+1/2,-y+1/2,z'
'x+1/2,y+1/2,-z'
'y,-x+1/2,z'
'-y,x+1/2,-z'
'x+1/2,-y,-z'
'-x+1/2,y,z'
'-y,-x,-z'
'y,x,z'
'-x,y+1/2,-z'
'x,-y+1/2,z'
'y+1/2,x+1/2,-z'
'-y+1/2,-x+1/2,z'
loop_
_atom_site_label
_atom_site_type_symbol
_atom_site_fract_x
_atom_site_fract_y
_atom_site_fract_z
Ba1 Ba 0.250 0.250 0.122
Ho1 Ho 0.250 0.750 0.500
Au1 Au 0.250 0.250 0.685

# GGA-PBE ScCd2Pt, relaxed
# Fermi-level density of states	0.933	states/eV/atom
# energy of formation from the pure elements	-334	meV per atom
data_ScCd2Pt
_chemical_formula_sum 'Sc1 Cd2 Pt1'
_symmetry_space_group_name_H-M 'P 4/m m m'
_symmetry_Int_Tables_number 123
_symmetry_space_group_name_Hall '-P 4 2'
_cell_length_a 3.636
_cell_length_b 3.636
_cell_length_c 5.952
_cell_angle_alpha 90.00
_cell_angle_beta 90.00
_cell_angle_gamma 90.00
loop_
_atom_site_label
_atom_site_type_symbol
_atom_site_fract_x
_atom_site_fract_y
_atom_site_fract_z
Sc1 Sc 0.000 0.000 0.000
Cd1 Cd 0.500 0.500 0.265
Pt1 Pt 0.000 0.000 0.500

# GGA-PBE DyMg2Tl4, relaxed
# Fermi-level density of states	0.664	states/eV/atom
# energy of formation from the pure elements	-105	meV per atom
data_DyMg2Tl4
_chemical_formula_sum 'Dy2 Mg4 Tl8'
_symmetry_space_group_name_H-M 'I 4/m m m'
_symmetry_Int_Tables_number 139
_symmetry_space_group_name_Hall '-I 4 2'
_cell_length_a 7.016
_cell_length_b 7.016
_cell_length_c 7.937
_cell_angle_alpha 90.00
_cell_angle_beta 90.00
_cell_angle_gamma 90.00
loop_
_atom_site_label
_atom_site_type_symbol
_atom_site_fract_x
_atom_site_fract_y
_atom_site_fract_z
Dy1 Dy 0.000 0.000 0.000
Mg1 Mg 0.000 0.500 0.000
Tl1 Tl 0.250 0.250 0.250

# GGA-PBE Y4Ho5Pu, relaxed
# Fermi-level density of states	1.833	states/eV/atom
# polymorph energy (0 for the lowest one)	0	kJ/mol of formula units
# energy of formation from the pure elements	68	meV per atom
data_Y4Ho5Pu
_chemical_formula_sum 'Y8 Ho10 Pu2'
_symmetry_space_group_name_H-M 'C 1 2/m 1'
_symmetry_Int_Tables_number 12
_cell_length_a 16.731
_cell_length_b 3.493
_cell_length_c 11.303
_cell_angle_alpha 90.00
_cell_angle_beta 108.85
_cell_angle_gamma 90.00
loop_
_symmetry_equiv_pos_as_xyz
'x,y,z'
'-x,-y,-z'
'-x,y,-z'
'x,-y,z'
'x+1/2,y+1/2,z'
'-x+1/2,-y+1/2,-z'
'-x+1/2,y+1/2,-z'
'x+1/2,-y+1/2,z'
loop_
_atom_site_label
_atom_site_type_symbol
_atom_site_fract_x
_atom_site_fract_y
_atom_site_fract_z
Y1 Y 0.085 0.000 0.292
Y2 Y 0.106 0.500 0.798
Ho1 Ho 0.000 0.500 0.500
Ho2 Ho 0.189 0.000 0.078
Ho3 Ho 0.211 0.000 0.615
Pu1 Pu 0.000 0.500 0.000

Mass density for the records above, in order: 8888 15723 7589 6595 8252 4849 5531 9808 8162 9809 8744 7566 kg/m3
Total magnetic moment for the records above, in order: 0.00 0.00 0.00 0.00 0.00 1.94 0.00 3.40 0.00 0.23 0.00 11.73 μB/cell